Entry from the Alexandria database: a geometry-optimized PrSm5DyTh2 structure (PBE-GGA).

Calculated values
DOS at the Fermi energy = 26.36 states/eV per cell
Electronic total energy = -4.986 eV per atom
Space group = I4/mcm
E_form = 0.327 eV/atom

abc: 8.961 8.961 10.026
angles: 116.54 116.54 90.00
Fractional positions:
Pr (0.250, 0.250, 0.500)
Pr (0.750, 0.750, 0.500)
Sm (0.929, 0.429, 0.274)
Sm (0.655, 0.155, 0.726)
Sm (0.071, 0.571, 0.726)
Sm (0.155, 0.071, 0.726)
Sm (0.571, 0.655, 0.726)
Sm (0.845, 0.929, 0.274)
Sm (0.429, 0.345, 0.274)
Sm (0.345, 0.845, 0.274)
Sm (0.500, 0.500, 0.000)
Sm (0.000, 0.000, 0.000)
Dy (0.250, 0.750, 0.500)
Dy (0.750, 0.250, 0.500)
Th (0.119, 0.381, 0.000)
Th (0.619, 0.119, 0.000)
Th (0.381, 0.881, 0.000)
Th (0.881, 0.619, 0.000)


Entry from the Alexandria database: a geometry-optimized PrSmDyTh structure (PBE-GGA).

Calculated values
DOS at the Fermi energy = 4.93 states/eV per cell
Electronic total energy = -5.357 eV per atom
Space group = P4mm
E_form = 0.023 eV/atom

abc: 3.611 3.611 10.261
angles: 90.00 90.00 90.00
Fractional positions:
Pr (0.000, 0.000, 0.075)
Sm (0.500, 0.500, 0.809)
Dy (0.500, 0.500, 0.333)
Th (0.000, 0.000, 0.568)


Entry from the Alexandria database: a geometry-optimized Pr3SmDy6Th2 structure (PBE-GGA).

Calculated values
DOS at the Fermi energy = 15.99 states/eV per cell
Electronic total energy = -5.104 eV per atom
Space group = C2/m
E_form = 0.022 eV/atom

abc: 6.248 6.248 11.821
angles: 95.07 95.07 119.97
Fractional positions:
Pr (0.166, 0.834, 0.500)
Pr (0.834, 0.166, 0.500)
Pr (0.500, 0.500, 0.500)
Sm (0.000, 0.000, 0.000)
Dy (0.918, 0.580, 0.756)
Dy (0.743, 0.743, 0.244)
Dy (0.082, 0.420, 0.244)
Dy (0.580, 0.918, 0.756)
Dy (0.257, 0.257, 0.756)
Dy (0.420, 0.082, 0.244)
Th (0.333, 0.667, 0.000)
Th (0.667, 0.333, 0.000)


Entry from the Alexandria database: a geometry-optimized Pr2Sm4DyTh structure (PBE-GGA).

Calculated values
DOS at the Fermi energy = 15.53 states/eV per cell
Electronic total energy = -4.925 eV per atom
Space group = P2/m
E_form = 0.133 eV/atom

abc: 6.067 6.065 9.527
angles: 50.55 90.00 90.00
Fractional positions:
Pr (0.000, 0.000, 0.000)
Pr (0.500, 0.000, 0.500)
Sm (0.000, 0.746, 0.753)
Sm (0.000, 0.254, 0.247)
Sm (0.500, 0.753, 0.247)
Sm (0.500, 0.247, 0.753)
Dy (0.000, 0.500, 0.500)
Th (0.500, 0.500, 0.000)


Entry from the Alexandria database: a geometry-optimized Pr6Sm2DyTh structure (PBE-GGA).

Calculated values
DOS at the Fermi energy = 28.94 states/eV per cell
Electronic total energy = -4.872 eV per atom
Space group = C2/c
E_form = 0.142 eV/atom

abc: 10.027 8.926 8.926
angles: 116.82 95.04 95.04
Fractional positions:
Pr (0.055, 0.110, 0.750)
Pr (0.445, 0.250, 0.890)
Pr (0.945, 0.890, 0.250)
Pr (0.555, 0.750, 0.110)
Pr (0.311, 0.989, 0.423)
Pr (0.189, 0.577, 0.011)
Pr (0.689, 0.011, 0.577)
Pr (0.811, 0.423, 0.989)
Pr (0.120, 0.700, 0.494)
Pr (0.380, 0.506, 0.300)
Pr (0.880, 0.300, 0.506)
Pr (0.620, 0.494, 0.700)
Sm (0.453, 0.805, 0.715)
Sm (0.047, 0.285, 0.195)
Sm (0.547, 0.195, 0.285)
Sm (0.953, 0.715, 0.805)
Dy (0.250, 0.407, 0.593)
Dy (0.750, 0.593, 0.407)
Th (0.250, 0.979, 0.021)
Th (0.750, 0.021, 0.979)


Entry from the Alexandria database: a geometry-optimized Pr6SmDy2Th structure (PBE-GGA).

Calculated values
DOS at the Fermi energy = 28.90 states/eV per cell
Electronic total energy = -4.862 eV per atom
Space group = C2/c
E_form = 0.140 eV/atom

abc: 9.937 8.918 8.918
angles: 116.33 94.72 94.72
Fractional positions:
Pr (0.057, 0.106, 0.756)
Pr (0.443, 0.244, 0.894)
Pr (0.943, 0.894, 0.244)
Pr (0.557, 0.756, 0.106)
Pr (0.314, 0.987, 0.424)
Pr (0.186, 0.576, 0.013)
Pr (0.686, 0.013, 0.576)
Pr (0.814, 0.424, 0.987)
Pr (0.120, 0.699, 0.492)
Pr (0.380, 0.508, 0.301)
Pr (0.880, 0.301, 0.508)
Pr (0.620, 0.492, 0.699)
Sm (0.250, 0.405, 0.595)
Sm (0.750, 0.595, 0.405)
Dy (0.450, 0.805, 0.716)
Dy (0.050, 0.284, 0.195)
Dy (0.550, 0.195, 0.284)
Dy (0.950, 0.716, 0.805)
Th (0.250, 0.972, 0.028)
Th (0.750, 0.028, 0.972)


Entry from the Alexandria database: a geometry-optimized Pr2SmDy4Th structure (PBE-GGA).

Calculated values
DOS at the Fermi energy = 10.62 states/eV per cell
Electronic total energy = -4.982 eV per atom
Space group = Pmmm
E_form = 0.031 eV/atom

abc: 5.134 5.120 11.268
angles: 63.01 90.00 90.00
Fractional positions:
Pr (0.000, 0.000, 0.000)
Pr (0.500, 0.000, 0.500)
Sm (0.500, 0.500, 0.000)
Dy (0.000, 0.754, 0.745)
Dy (0.000, 0.246, 0.255)
Dy (0.500, 0.745, 0.255)
Dy (0.500, 0.255, 0.745)
Th (0.000, 0.500, 0.500)


Entry from the Alexandria database: a geometry-optimized PrSmDy2Tl4 structure (PBE-GGA).

Calculated values
DOS at the Fermi energy = 6.34 states/eV per cell
Electronic total energy = -3.880 eV per atom
Space group = R-3m
E_form = -0.359 eV/atom

abc: 5.439 5.439 9.434
angles: 73.25 73.25 60.00
Fractional positions:
Pr (0.000, 0.000, 0.000)
Sm (0.500, 0.500, 0.500)
Dy (0.750, 0.750, 0.749)
Dy (0.250, 0.250, 0.251)
Tl (0.376, 0.376, 0.872)
Tl (0.874, 0.874, 0.378)
Tl (0.126, 0.126, 0.622)
Tl (0.624, 0.624, 0.128)


Entry from the Alexandria database: a geometry-optimized PrSm2DyTl2 structure (PBE-GGA).

Calculated values
DOS at the Fermi energy = 13.40 states/eV per cell
Electronic total energy = -4.195 eV per atom
Space group = Pmc2_1
E_form = -0.269 eV/atom

abc: 5.208 6.923 10.203
angles: 90.00 90.00 90.00
Fractional positions:
Pr (0.000, 0.959, 0.456)
Pr (0.000, 0.459, 0.544)
Sm (0.500, 0.054, 0.046)
Sm (0.000, 0.333, 0.182)
Sm (0.500, 0.554, 0.954)
Sm (0.000, 0.833, 0.818)
Dy (0.500, 0.180, 0.690)
Dy (0.500, 0.680, 0.310)
Tl (0.000, 0.297, 0.862)
Tl (0.500, 0.223, 0.367)
Tl (0.000, 0.797, 0.138)
Tl (0.500, 0.723, 0.633)


Entry from the Alexandria database: a geometry-optimized Pr2Sm3Dy6Tl structure (PBE-GGA).

Calculated values
DOS at the Fermi energy = 16.03 states/eV per cell
Electronic total energy = -4.506 eV per atom
Space group = C2/m
E_form = -0.032 eV/atom

abc: 6.154 6.154 11.824
angles: 95.00 95.00 120.02
Fractional positions:
Pr (0.334, 0.666, 0.000)
Pr (0.666, 0.334, 0.000)
Sm (0.167, 0.833, 0.500)
Sm (0.833, 0.167, 0.500)
Sm (0.500, 0.500, 0.500)
Dy (0.918, 0.590, 0.751)
Dy (0.755, 0.755, 0.250)
Dy (0.082, 0.410, 0.249)
Dy (0.590, 0.918, 0.751)
Dy (0.245, 0.245, 0.750)
Dy (0.410, 0.082, 0.249)
Tl (0.000, 0.000, 0.000)


Entry from the Alexandria database: a geometry-optimized PrSm2DyTl4 structure (PBE-GGA).

Calculated values
DOS at the Fermi energy = 6.75 states/eV per cell
Electronic total energy = -3.903 eV per atom
Space group = R-3m
E_form = -0.367 eV/atom

abc: 5.463 5.463 9.483
angles: 73.26 73.26 60.00
Fractional positions:
Pr (0.000, 0.000, 0.000)
Sm (0.751, 0.751, 0.748)
Sm (0.249, 0.249, 0.252)
Dy (0.500, 0.500, 0.500)
Tl (0.377, 0.377, 0.870)
Tl (0.873, 0.873, 0.380)
Tl (0.127, 0.127, 0.620)
Tl (0.623, 0.623, 0.130)


Entry from the Alexandria database: a geometry-optimized PrSmDy2Tl2 structure (PBE-GGA).

Calculated values
DOS at the Fermi energy = 12.40 states/eV per cell
Electronic total energy = -4.175 eV per atom
Space group = Pmc2_1
E_form = -0.269 eV/atom

abc: 5.166 6.858 10.200
angles: 90.00 90.00 90.00
Fractional positions:
Pr (0.000, 0.956, 0.458)
Pr (0.000, 0.456, 0.542)
Sm (0.500, 0.186, 0.690)
Sm (0.500, 0.686, 0.310)
Dy (0.500, 0.053, 0.042)
Dy (0.000, 0.334, 0.182)
Dy (0.500, 0.553, 0.958)
Dy (0.000, 0.834, 0.818)
Tl (0.000, 0.299, 0.872)
Tl (0.500, 0.218, 0.357)
Tl (0.000, 0.799, 0.128)
Tl (0.500, 0.718, 0.643)